## NdMgCoGe2 (PBE)

Data for an optimized crystal structure of NdMgCoGe2.

a = 5.4651 Å, b = 5.8291 Å, c = 5.9287 Å
α = 90.00°, β = 90.00°, γ = 90.00°
With the nearest neighbours (Å) after each atom.
Space group Pmma (No. 51)
One atom of each set of equivalent atoms:
Nd1 0.2500 0.0000 0.2320  2 Mg 3.03, 6 Ge 3.10-3.13
Mg1 0.2500 0.5000 0.3724  2 Co 2.60, 2 Ge 2.74
Co1 0.0000 0.5000 0.0000  4 Ge 2.44, 2 Mg 2.60
Ge1 0.2500 0.2496 0.7642  2 Co 2.44

E_form	-412	meV/atom
D(E_F)	0.298	states/eV per atom